Record 1
Here is Ti2CrMo after structural relaxation from the Alexandria database. Energies are from PBE.

Calculated values
Formation energy = 0.0076 eV per atom
Crystal system = tetragonal
E = -9.054 eV per atom

Unit cell a=4.428 b=4.428 c=3.115 alpha=90.00 beta=90.00 gamma=90.00
Space group P4/mmm (No. 123)
Unique sites:
1 Ti 0.000 0.500 0.000 (multiplicity 2)
2 Cr 0.000 0.000 0.500 (multiplicity 1)
3 Mo 0.500 0.500 0.500 (multiplicity 1)

***

Record 2
Here is TiCr3Mo after structural relaxation from the Alexandria database. Energies are from PBE.

Calculated values
Formation energy = 1.3390 eV per atom
Crystal system = cubic
Energy relative to the lowest polymorph listed for this composition = 563 kJ/mol of formula units
E = -8.180 eV per atom

Unit cell a=4.550 b=4.550 c=4.550 alpha=90.00 beta=90.00 gamma=90.00
Space group Pm-3m (No. 221)
Unique sites:
1 Ti 0.000 0.000 0.000 (multiplicity 1)
2 Cr 0.000 0.500 0.500 (multiplicity 3)
3 Mo 0.500 0.500 0.500 (multiplicity 1)

***

Record 3
Here is Ti2CrMo2 after structural relaxation from the Alexandria database. Energies are from PBE.

Calculated values
Formation energy = 0.3065 eV per atom
Crystal system = tetragonal
E = -9.109 eV per atom

Unit cell a=6.226 b=6.226 c=4.253 alpha=90.00 beta=90.00 gamma=90.00
Space group P4/mbm (No. 127)
Unique sites:
1 Ti 0.169 0.331 0.000 (multiplicity 4)
2 Cr 0.000 0.000 0.500 (multiplicity 2)
3 Mo 0.152 0.652 0.500 (multiplicity 4)

***

Record 4
Here is TiCrMo6 after structural relaxation from the Alexandria database. Energies are from PBE.

Calculated values
Formation energy = 0.6646 eV per atom
Crystal system = monoclinic
E = -9.648 eV per atom

Unit cell a=7.119 b=5.214 c=7.640 alpha=90.00 beta=105.72 gamma=90.00
Space group C2/m (No. 12)
Unique sites:
1 Ti 0.000 0.000 0.000 (multiplicity 2)
2 Cr 0.000 0.500 0.500 (multiplicity 2)
3 Mo 0.140 0.000 0.422 (multiplicity 4)
4 Mo 0.192 0.244 0.793 (multiplicity 8)

***

Record 5
Here is TiCr3Mo after structural relaxation from the Alexandria database. Energies are from PBE.

Calculated values
Formation energy = 0.1719 eV per atom
Crystal system = triclinic
Energy relative to the lowest polymorph listed for this composition = 0 kJ/mol of formula units
E = -9.347 eV per atom

Unit cell a=4.792 b=4.841 c=7.100 alpha=81.89 beta=73.35 gamma=60.36
Space group P-1 (No. 2)
Unique sites:
1 Ti 0.076 0.499 0.312 (multiplicity 2)
2 Cr 0.125 0.999 0.158 (multiplicity 2)
3 Cr 0.318 0.500 0.902 (multiplicity 2)
4 Cr 0.375 0.000 0.842 (multiplicity 2)
5 Mo 0.336 0.829 0.500 (multiplicity 2)

***

Record 6
Here is Ti2V5Cr2Mo after structural relaxation from the Alexandria database. Energies are from PBE.

Calculated values
Formation energy = 0.1573 eV per atom
Crystal system = tetragonal
E = -8.989 eV per atom

Unit cell a=9.697 b=9.697 c=3.115 alpha=90.00 beta=90.00 gamma=90.00
Space group P4/mbm (No. 127)
Unique sites:
1 Ti 0.177 0.323 0.000 (multiplicity 4)
2 V 0.000 0.500 0.500 (multiplicity 2)
3 V 0.063 0.799 0.500 (multiplicity 8)
4 Cr 0.122 0.622 0.000 (multiplicity 4)
5 Mo 0.000 0.000 0.000 (multiplicity 2)

***

| no. | magnetization (Bohr magnetons per cell) |
| --- | --- |
| 1 | 2.1 |
| 2 | 5.8 |
| 3 | 0.0 |
| 4 | 0.0 |
| 5 | 0.0 |
| 6 | 0.0 |